PmCuBiPt | Alexandria via LeMat-Bulk | PBE | optimized geometry; energy of formation = -498 meV/atom; uncorrected energy = -5.190 eV/atom; crystal system = cubic
1.0
-2.901 0.742 -3.951
1.368 -1.731 -4.439
-2.438 -3.807 -2.035
Pt Bi Pm Cu
1 1 1 1
direct
0.500 0.500 0.500 Pt
0.750 0.750 0.750 Bi
0.250 0.250 0.250 Pm
0.000 0.000 0.000 Cu

---

PmCuBi2S5 | Alexandria via LeMat-Bulk | PBE | optimized geometry; uncorrected energy = -4.899 eV/atom; crystal system = orthorhombic
1.0
3.996 0.000 0.000
-1.998 9.461 0.000
0.000 0.000 12.225
Bi S Pm Cu
4 10 2 2
direct
0.851 0.701 0.177 Bi
0.087 0.174 0.267 Bi
0.149 0.299 0.677 Bi
0.913 0.826 0.767 Bi
0.677 0.354 0.857 S
0.352 0.703 0.027 S
0.711 0.423 0.172 S
0.496 0.992 0.299 S
0.289 0.577 0.672 S
0.648 0.297 0.527 S
0.944 0.888 0.558 S
0.323 0.646 0.357 S
0.504 0.008 0.799 S
0.056 0.112 0.058 S
0.203 0.405 0.007 Pm
0.797 0.595 0.507 Pm
0.569 0.138 0.960 Cu
0.431 0.862 0.460 Cu

---

PmScCuBi | Alexandria via LeMat-Bulk | PBE | optimized geometry; energy of formation = -289 meV/atom; uncorrected energy = -5.054 eV/atom; crystal system = cubic
1.0
5.151 0.000 0.000
2.576 4.461 0.000
2.576 1.487 4.206
Pm Sc Cu Bi
1 1 1 1
direct
0.500 0.500 0.500 Pm
0.000 0.000 0.000 Sc
0.750 0.750 0.750 Cu
0.250 0.250 0.250 Bi

---

PmCuBi2Se5 | Alexandria via LeMat-Bulk | PBE | optimized geometry; uncorrected energy = -4.493 eV/atom; crystal system = orthorhombic
1.0
4.150 0.000 0.000
-2.075 9.850 0.000
0.000 0.000 12.972
Bi Se Cu Pm
4 10 2 2
direct
0.083 0.166 0.259 Bi
0.155 0.310 0.679 Bi
0.845 0.690 0.179 Bi
0.917 0.834 0.759 Bi
0.510 0.020 0.796 Se
0.295 0.591 0.676 Se
0.490 0.980 0.296 Se
0.705 0.409 0.176 Se
0.651 0.302 0.530 Se
0.951 0.902 0.554 Se
0.049 0.098 0.054 Se
0.349 0.698 0.030 Se
0.682 0.365 0.860 Se
0.318 0.635 0.360 Se
0.426 0.851 0.459 Cu
0.574 0.149 0.959 Cu
0.802 0.604 0.512 Pm
0.198 0.396 0.012 Pm

---

Pm2CuBiSe5 | Alexandria via LeMat-Bulk | PBE | optimized geometry; uncorrected energy = -5.018 eV/atom; crystal system = orthorhombic
1.0
4.102 0.000 0.000
-2.051 8.784 0.000
0.000 0.000 12.374
Bi Se Pm Cu
2 10 4 2
direct
0.187 0.373 0.997 Bi
0.813 0.627 0.497 Bi
0.490 0.981 0.294 Se
0.294 0.588 0.664 Se
0.295 0.589 0.324 Se
0.035 0.070 0.075 Se
0.645 0.291 0.496 Se
0.510 0.019 0.794 Se
0.706 0.412 0.164 Se
0.705 0.411 0.824 Se
0.355 0.709 0.996 Se
0.965 0.930 0.575 Se
0.114 0.228 0.303 Pm
0.886 0.772 0.803 Pm
0.883 0.767 0.184 Pm
0.117 0.233 0.684 Pm
0.500 0.999 0.488 Cu
0.500 0.001 0.988 Cu

---

PmSmCuBi | Alexandria via LeMat-Bulk | PBE | optimized geometry; energy of formation = -369 meV/atom; uncorrected energy = -4.731 eV/atom; crystal system = cubic
1.0
5.321 0.000 0.000
2.661 4.608 0.000
2.661 1.536 4.345
Sm Cu Pm Bi
1 1 1 1
direct
0.000 0.000 0.000 Sm
0.250 0.250 0.250 Cu
0.500 0.500 0.500 Pm
0.750 0.750 0.750 Bi